Record 1
This record from the Alexandria database describes a crystal of Ru2PtW relaxed with PBEsol. The functional is meta-GGA SCAN.

Geometry as POSCAR:
```
Ru2PtW
1.0
-3.072 -1.886 1.300
-0.036 -2.135 -3.182
3.864 -0.576 2.650
Pt Ru W
1 2 1
direct
0.250 0.750 0.500
0.000 0.000 0.000
0.750 0.250 0.500
0.500 0.500 0.000
```

Summary:
The energy above the most stable polymorph in this dataset is 0.26 eV/f.u. As for the formation enthalpy at 0 K: -167 meV per atom. For the total magnetic moment, the calculation gives 0.000 μB/atom.

Record 2
This record from the Alexandria database describes a crystal of Zr3CoH relaxed with PBEsol. The functional is meta-GGA SCAN.

Geometry as POSCAR:
```
Zr3CoH
1.0
4.260 0.000 0.000
0.000 4.260 0.000
0.000 0.000 4.260
Co H Zr
1 1 3
direct
0.500 0.500 0.500
0.000 0.000 0.000
0.000 0.500 0.000
0.000 0.000 0.500
0.500 0.000 0.000
```

Summary:
The raw total energy is -22.6258 eV per atom. For the total magnetic moment, the calculation gives 0.335 μB/atom.

Record 3
This record from the Alexandria database describes a crystal of Li27As10 relaxed with PBEsol. The functional is meta-GGA SCAN.

Geometry as POSCAR:
```
Li27As10
1.0
7.355 -0.007 0.000
2.369 6.968 0.000
3.678 -0.004 10.728
As Li
10 27
direct
0.265 0.763 0.000
0.146 0.249 0.202
0.436 0.734 0.610
0.564 0.266 0.390
0.046 0.734 0.390
0.954 0.266 0.610
0.652 0.751 0.202
0.348 0.249 0.798
0.735 0.237 0.000
0.854 0.751 0.798
0.805 0.500 0.391
0.397 0.500 0.206
0.490 0.883 0.786
0.510 0.117 0.214
0.195 0.500 0.609
0.029 0.617 0.181
0.276 0.883 0.214
0.185 0.349 0.403
0.346 0.113 0.588
0.971 0.383 0.819
0.210 0.617 0.819
0.603 0.500 0.794
0.500 0.000 0.000
0.588 0.349 0.597
0.724 0.117 0.786
0.648 0.615 0.000
0.066 0.887 0.588
0.412 0.651 0.403
0.897 0.000 0.206
0.886 0.854 0.000
0.790 0.383 0.181
0.103 0.000 0.794
0.114 0.146 0.000
0.654 0.887 0.412
0.815 0.651 0.597
0.934 0.113 0.412
0.352 0.385 0.000
```

Summary:
As for the formation enthalpy at 0 K: -742 meV per atom. For the total magnetic moment, the calculation gives 0.000 μB/atom.

Record 4
This record from the Alexandria database describes a crystal of NbSn2Pd relaxed with PBEsol. The functional is meta-GGA SCAN.

Geometry as POSCAR:
```
NbSn2Pd
1.0
4.720 0.000 0.000
2.360 4.087 0.000
2.360 1.362 3.854
Sn Pd Nb
2 1 1
direct
0.750 0.750 0.750
0.250 0.250 0.250
0.500 0.500 0.500
0.000 0.000 0.000
```

Summary:
As for the formation enthalpy at 0 K: -4 meV per atom. For the total magnetic moment, the calculation gives 0.000 μB/atom.

Record 5
This record from the Alexandria database describes a crystal of RbTcBiS2 relaxed with PBEsol. The functional is meta-GGA SCAN.

Geometry as POSCAR:
```
RbTcBiS2
1.0
5.240 0.000 0.000
0.000 5.460 0.000
0.000 0.000 5.460
S Bi Tc Rb
2 1 1 1
direct
0.000 0.000 0.500
0.000 0.500 0.000
0.000 0.000 0.000
0.500 0.000 0.000
0.500 0.500 0.500
```

Summary:
The calculation puts the uncorrected formation energy at 49 kJ per mole of atoms. For the total magnetic moment, the calculation gives 0.963 μB/atom.

Record 6
This record from the Alexandria database describes a crystal of K2ZnGeH relaxed with PBEsol. The functional is meta-GGA SCAN.

Geometry as POSCAR:
```
K2ZnGeH
1.0
-2.248 0.026 -2.612
-4.648 -1.452 3.985
-1.071 6.122 0.982
Ge K Zn H
1 2 1 1
direct
0.500 0.500 0.500
0.000 0.500 0.000
0.000 0.000 0.500
0.000 0.000 0.000
0.500 0.000 0.000
```

Summary:
The raw total energy is -10.1490 eV per atom. For the total magnetic moment, the calculation gives 0.168 μB/atom.

Record 7
This record from the Alexandria database describes a crystal of ReSbCl4 relaxed with PBEsol. The functional is meta-GGA SCAN.

Geometry as POSCAR:
```
ReSbCl4
1.0
5.596 0.000 0.000
2.798 4.846 0.000
2.798 1.615 4.569
Cl Sb Re
4 1 1
direct
0.376 0.376 0.376
0.376 0.376 0.872
0.376 0.872 0.376
0.872 0.376 0.376
0.000 0.000 0.000
0.750 0.750 0.750
```

Summary:
The calculation puts the uncorrected formation energy at 131 kJ per mole of atoms. For the total magnetic moment, the calculation gives 0.418 μB/atom.

Record 8
This record from the Alexandria database describes a crystal of Te3MoIr relaxed with PBEsol. The functional is meta-GGA SCAN.

Geometry as POSCAR:
```
Te3MoIr
1.0
-1.565 -3.604 -3.316
3.226 -3.377 2.149
-3.685 -1.426 3.289
Te Mo Ir
3 1 1
direct
0.000 0.000 0.500
0.000 0.500 0.000
0.500 0.000 0.000
0.500 0.500 0.500
0.000 0.000 0.000
```

Summary:
The calculation puts the uncorrected formation energy at 96 kJ per mole of atoms. For the total magnetic moment, the calculation gives 0.456 μB/atom.

Record 9
This record from the Alexandria database describes a crystal of Al3GaOs relaxed with PBEsol. The functional is meta-GGA SCAN.

Geometry as POSCAR:
```
Al3GaOs
1.0
-3.773 1.961 2.093
-2.853 -2.220 -3.065
-0.288 -3.700 2.948
Al Os Ga
3 1 1
direct
0.000 0.500 0.000
0.000 0.000 0.500
0.500 0.000 0.000
0.000 0.000 0.000
0.500 0.500 0.500
```

Summary:
As for the formation enthalpy at 0 K: 60 meV per atom. For the total magnetic moment, the calculation gives 0.000 μB/atom.

Record 10
This record from the Alexandria database describes a crystal of AgTe2Mo relaxed with PBEsol. The functional is meta-GGA SCAN.

Geometry as POSCAR:
```
AgTe2Mo
1.0
-1.029 3.219 -0.630
-4.492 -1.174 1.339
1.039 1.224 4.558
Ag Te Mo
1 2 1
direct
0.500 0.500 0.500
0.000 0.000 0.500
0.000 0.500 0.000
0.500 0.000 0.000
```

Summary:
The energy above the most stable polymorph in this dataset is 1.56 eV/f.u. The calculation puts the uncorrected formation energy at 50 kJ per mole of atoms. For the total magnetic moment, the calculation gives 0.530 μB/atom.

Record 11
This record from the Alexandria database describes a crystal of Ag2HgOs relaxed with PBEsol. The functional is meta-GGA SCAN.

Geometry as POSCAR:
```
Ag2HgOs
1.0
2.737 0.000 0.024
0.000 4.862 0.000
-0.243 0.000 5.024
Os Ag Hg
1 2 1
direct
0.000 0.500 0.500
0.735 0.000 0.741
0.265 0.000 0.259
0.500 0.500 0.000
```

Summary:
As for the formation enthalpy at 0 K: 673 meV per atom. For the total magnetic moment, the calculation gives 0.000 μB/atom.

Record 12
This record from the Alexandria database describes a crystal of Y2InNi2 relaxed with PBEsol. The functional is meta-GGA SCAN.

Geometry as POSCAR:
```
Y2InNi2
1.0
3.625 0.000 0.000
0.000 3.872 0.000
0.000 1.936 6.998
Y Ni In
2 2 1
direct
0.500 0.363 0.275
0.500 0.637 0.725
0.000 0.199 0.601
0.000 0.801 0.399
0.000 0.000 0.000
```

Summary:
As for the formation enthalpy at 0 K: -593 meV per atom. For the total magnetic moment, the calculation gives 0.000 μB/atom.

Record 13
This record from the Alexandria database describes a crystal of NiHg2Te relaxed with PBEsol. The functional is meta-GGA SCAN.

Geometry as POSCAR:
```
NiHg2Te
1.0
-2.917 -1.057 0.152
1.019 -2.622 1.315
-0.898 3.618 7.909
Hg Ni Te
2 1 1
direct
0.000 0.000 0.012
0.500 0.500 0.299
0.000 0.000 0.516
0.500 0.500 0.673
```

Summary:
The calculation puts the uncorrected formation energy at 14 kJ per mole of atoms. For the total magnetic moment, the calculation gives 0.000 μB/atom.

Record 14
This record from the Alexandria database describes a crystal of Li2Cr2FeSbO8 relaxed with PBEsol. The functional is meta-GGA SCAN.

Geometry as POSCAR:
```
Li2Cr2FeSbO8
1.0
5.757 0.000 0.000
-2.878 5.034 0.006
0.000 -0.018 9.506
Li O Sb Cr Fe
4 16 2 4 2
direct
0.669 0.338 0.406
0.997 0.994 0.002
0.998 0.997 0.497
0.336 0.672 0.911
0.034 0.522 0.342
0.162 0.324 0.603
0.668 0.337 0.615
0.992 0.985 0.310
0.484 0.968 0.343
0.968 0.484 0.848
0.321 0.156 0.105
0.840 0.680 0.106
0.487 0.522 0.342
0.163 0.840 0.606
0.001 0.001 0.816
0.677 0.840 0.606
0.519 0.037 0.848
0.333 0.665 0.117
0.835 0.156 0.105
0.516 0.484 0.848
0.334 0.667 0.495
0.668 0.335 0.000
0.831 0.662 0.724
0.340 0.172 0.723
0.831 0.172 0.723
0.167 0.335 0.221
0.177 0.828 0.221
0.651 0.828 0.221
```

Summary:
The calculation puts the uncorrected formation energy at -206 kJ per mole of atoms. For the total magnetic moment, the calculation gives 0.499 μB/atom.

Record 15
This record from the Alexandria database describes a crystal of CoHg2Br relaxed with PBEsol. The functional is meta-GGA SCAN.

Geometry as POSCAR:
```
CoHg2Br
1.0
-1.246 -4.587 -1.067
2.293 -3.713 2.164
-2.339 -2.718 3.297
Co Br Hg
1 1 2
direct
0.750 0.750 0.750
0.500 0.500 0.500
0.250 0.250 0.250
0.000 0.000 0.000
```

Summary:
The energy above the most stable polymorph in this dataset is 1.64 eV/f.u. The calculation puts the uncorrected formation energy at 58 kJ per mole of atoms. For the total magnetic moment, the calculation gives 0.500 μB/atom.

Record 16
This record from the Alexandria database describes a crystal of ScS2I relaxed with PBEsol. The functional is meta-GGA SCAN.

Geometry as POSCAR:
```
ScS2I
1.0
-2.734 -0.945 3.811
1.625 -2.887 3.453
1.155 1.803 4.279
S Sc I
2 1 1
direct
0.750 0.750 0.750
0.250 0.250 0.250
0.000 0.000 0.000
0.500 0.500 0.500
```

Summary:
The energy above the most stable polymorph in this dataset is 4.05 eV/f.u. The calculation puts the uncorrected formation energy at -23 kJ per mole of atoms. For the total magnetic moment, the calculation gives 0.000 μB/atom.

Record 17
This record from the Alexandria database describes a crystal of Y2Al2Cd relaxed with PBEsol. The functional is meta-GGA SCAN.

Geometry as POSCAR:
```
Y2Al2Cd
1.0
4.614 0.000 0.000
0.000 7.026 0.000
0.000 0.000 7.026
Al Cd Y
4 2 4
direct
0.000 0.132 0.368
0.000 0.632 0.132
0.000 0.868 0.632
0.000 0.368 0.868
0.000 0.000 0.000
0.000 0.500 0.500
0.500 0.831 0.331
0.500 0.331 0.169
0.500 0.169 0.669
0.500 0.669 0.831
```

Summary:
As for the formation enthalpy at 0 K: -518 meV per atom. For the total magnetic moment, the calculation gives 0.000 μB/atom.

Record 18
This record from the Alexandria database describes a crystal of AlTlHgGe2 relaxed with PBEsol. The functional is meta-GGA SCAN.

Geometry as POSCAR:
```
AlTlHgGe2
1.0
-2.101 3.096 3.118
-3.753 0.533 -3.058
-2.507 -4.083 2.365
Al Ge Hg Tl
1 2 1 1
direct
0.000 0.000 0.000
0.500 0.000 0.000
0.000 0.500 0.000
0.500 0.500 0.500
0.000 0.000 0.500
```

Summary:
As for the formation enthalpy at 0 K: 487 meV per atom. For the total magnetic moment, the calculation gives 0.000 μB/atom.

Record 19
This record from the Alexandria database describes a crystal of MgWCl2 relaxed with PBEsol. The functional is meta-GGA SCAN.

Geometry as POSCAR:
```
MgWCl2
1.0
2.951 0.000 0.000
0.000 5.103 -0.024
-1.476 -2.504 5.771
W Mg Cl
1 1 2
direct
0.500 0.000 0.000
0.000 0.500 0.000
0.166 0.165 0.332
0.834 0.835 0.668
```

Summary:
The energy above the most stable polymorph in this dataset is 0.00 eV/f.u. The calculation puts the uncorrected formation energy at -6 kJ per mole of atoms. For the total magnetic moment, the calculation gives 0.000 μB/atom.

Record 20
This record from the Alexandria database describes a crystal of YZn2Os relaxed with PBEsol. The functional is meta-GGA SCAN.

Geometry as POSCAR:
```
YZn2Os
1.0
3.427 0.000 0.000
0.000 4.549 -0.194
-1.714 -2.090 4.371
Os Zn Y
1 2 1
direct
0.480 0.480 0.961
0.024 0.024 0.048
0.745 0.245 0.490
0.251 0.751 0.502
```

Summary:
The energy above the most stable polymorph in this dataset is 0.50 eV/f.u. As for the formation enthalpy at 0 K: 14 meV per atom. For the total magnetic moment, the calculation gives 0.000 μB/atom.

Record 21
This record from the Alexandria database describes a crystal of FeAu3I relaxed with PBEsol. The functional is meta-GGA SCAN.

Geometry as POSCAR:
```
FeAu3I
1.0
-1.397 -4.399 -1.367
2.632 0.410 -4.010
3.781 -1.911 2.286
Au I Fe
3 1 1
direct
0.000 0.000 0.500
0.000 0.500 0.000
0.500 0.000 0.000
0.500 0.500 0.500
0.000 0.000 0.000
```

Summary:
The calculation puts the uncorrected formation energy at 67 kJ per mole of atoms. For the total magnetic moment, the calculation gives 0.613 μB/atom.

Record 22
This record from the Alexandria database describes a crystal of LiBe2Ag relaxed with PBEsol. The functional is meta-GGA SCAN.

Geometry as POSCAR:
```
LiBe2Ag
1.0
2.909 0.000 0.000
0.000 2.909 0.000
0.000 0.000 5.466
Li Be Ag
1 2 1
direct
0.500 0.500 0.000
0.000 0.000 0.246
0.000 0.000 0.754
0.500 0.500 0.500
```

Summary:
The energy above the most stable polymorph in this dataset is 0.49 eV/f.u. As for the formation enthalpy at 0 K: 145 meV per atom. For the total magnetic moment, the calculation gives 0.000 μB/atom.

Record 23
This record from the Alexandria database describes a crystal of WI2N2 relaxed with PBEsol. The functional is meta-GGA SCAN.

Geometry as POSCAR:
```
WI2N2
1.0
-1.433 -3.138 -2.042
0.230 -2.256 3.305
-6.503 1.852 1.717
N I W
2 2 1
direct
0.000 0.500 0.000
0.500 0.000 0.000
0.000 0.000 0.500
0.000 0.000 0.000
0.500 0.500 0.500
```

Summary:
The calculation puts the uncorrected formation energy at 257 kJ per mole of atoms. For the total magnetic moment, the calculation gives 0.896 μB/atom.

Record 24
This record from the Alexandria database describes a crystal of MnTeI2Cl relaxed with PBEsol. The functional is meta-GGA SCAN.

Geometry as POSCAR:
```
MnTeI2Cl
1.0
5.171 0.000 0.000
0.000 5.235 0.000
0.000 0.000 5.235
Te I Mn Cl
1 2 1 1
direct
0.500 0.000 0.000
0.000 0.500 0.000
0.000 0.000 0.500
0.000 0.000 0.000
0.500 0.500 0.500
```

Summary:
The calculation puts the uncorrected formation energy at -2 kJ per mole of atoms. For the total magnetic moment, the calculation gives 0.595 μB/atom.

Record 25
This record from the Alexandria database describes a crystal of ReSb2Pt relaxed with PBEsol. The functional is meta-GGA SCAN.

Geometry as POSCAR:
```
ReSb2Pt
1.0
-0.394 -3.272 0.107
4.607 -0.478 -2.388
-0.080 1.759 5.074
Sb Pt Re
2 1 1
direct
0.000 0.000 0.500
0.500 0.500 0.500
0.000 0.500 0.000
0.500 0.000 0.000
```

Summary:
The calculation puts the uncorrected formation energy at 74 kJ per mole of atoms. For the total magnetic moment, the calculation gives 0.000 μB/atom.

Record 26
This record from the Alexandria database describes a crystal of Li2TlIn relaxed with PBEsol. The functional is meta-GGA SCAN.

Geometry as POSCAR:
```
Li2TlIn
1.0
4.862 0.000 0.000
2.431 4.211 0.000
2.431 1.404 3.970
Li In Tl
2 1 1
direct
0.000 0.000 0.000
0.750 0.750 0.750
0.500 0.500 0.500
0.250 0.250 0.250
```

Summary:
As for the formation enthalpy at 0 K: -331 meV per atom. For the total magnetic moment, the calculation gives 0.000 μB/atom.